(1)
Entry from Alexandria: an optimized crystal structure of Tb9SmTm2 (PBE).

Lattice parameters (Å, degrees): 3.502 11.234 11.234 120.00 90.00 90.00
Positions (direct):
1 Tb 0.500 0.645 0.822
2 Tm 0.000 0.667 0.333
3 Tb 0.500 0.355 0.178
4 Tb 0.500 0.822 0.178
5 Tb 0.500 0.178 0.355
6 Tb 0.000 0.000 0.500
7 Tb 0.000 0.500 0.500
8 Tm 0.000 0.333 0.667
9 Tb 0.000 0.500 0.000
10 Tb 0.500 0.178 0.822
11 Tb 0.500 0.822 0.645
12 Sm 0.000 0.000 0.000

raw total energy: -4.572 eV per atom
ΔE to the lowest computed polymorph: 18.3 meV per atom
space-group type: P6/mmm

***

(2)
Entry from Alexandria: an optimized crystal structure of TbSm12Tm7 (PBE).

Lattice parameters (Å, degrees): 6.131 11.460 11.460 116.89 100.27 100.27
Positions (direct):
1 Sm 0.586 0.999 0.647
2 Sm 0.913 0.827 0.413
3 Tm 0.127 0.757 0.001
4 Sm 0.414 0.001 0.353
5 Tb 0.000 0.000 0.000
6 Sm 0.414 0.353 0.999
7 Sm 0.500 0.413 0.586
8 Sm 0.914 0.414 0.827
9 Tm 0.370 0.244 0.243
10 Tm 0.500 0.000 0.000
11 Tm 0.874 0.001 0.244
12 Sm 0.939 0.353 0.353
13 Sm 0.061 0.647 0.647
14 Tm 0.126 0.999 0.756
15 Sm 0.500 0.587 0.414
16 Sm 0.086 0.586 0.173
17 Tm 0.630 0.756 0.757
18 Sm 0.586 0.647 0.001
19 Sm 0.087 0.173 0.587
20 Tm 0.873 0.243 0.999

raw total energy: -4.369 eV per atom
ΔE to the lowest computed polymorph: 27.2 meV per atom
space-group type: R-3

***

(3)
Entry from Alexandria: an optimized crystal structure of TbSm2Tm8 (PBE).

Lattice parameters (Å, degrees): 4.975 7.870 9.312 104.67 105.49 90.00
Positions (direct):
1 Tm 0.136 0.179 0.271
2 Tm 0.410 0.546 0.820
3 Sm 0.773 0.363 0.545
4 Sm 0.227 0.637 0.455
5 Tm 0.045 0.727 0.089
6 Tm 0.864 0.821 0.729
7 Tm 0.319 0.092 0.637
8 Tm 0.590 0.454 0.180
9 Tb 0.500 0.000 0.000
10 Tm 0.681 0.908 0.363
11 Tm 0.955 0.273 0.911

raw total energy: -4.506 eV per atom
ΔE to the lowest computed polymorph: 0.0 meV per atom
space-group type: C2/m

***

(4)
Entry from Alexandria: an optimized crystal structure of Tb2Sm7Tm2 (PBE).

Lattice parameters (Å, degrees): 6.866 9.575 6.866 90.00 122.34 90.00
Positions (direct):
1 Sm 0.500 0.183 0.500
2 Tb 0.250 0.500 0.250
3 Sm 0.500 0.817 0.500
4 Tb 0.750 0.500 0.750
5 Sm 0.500 0.685 0.000
6 Sm 0.500 0.315 0.000
7 Sm 0.000 0.000 0.000
8 Tm 0.729 0.000 0.271
9 Sm 0.000 0.315 0.500
10 Sm 0.000 0.685 0.500
11 Tm 0.271 0.000 0.729

raw total energy: -4.313 eV per atom
ΔE to the lowest computed polymorph: 231.2 meV per atom
space-group type: Cmmm

***

(5)
Entry from Alexandria: an optimized crystal structure of Tb2Sm5Tm4 (PBE).

Lattice parameters (Å, degrees): 3.502 9.032 12.639 110.93 97.96 90.00
Positions (direct):
1 Tb 0.269 0.269 0.538
2 Tm 0.404 0.404 0.807
3 Sm 0.145 0.945 0.289
4 Sm 0.855 0.655 0.711
5 Tm 0.000 0.685 0.000
6 Sm 0.145 0.345 0.289
7 Tm 0.000 0.315 0.000
8 Sm 0.855 0.055 0.711
9 Sm 0.500 0.000 0.000
10 Tm 0.596 0.596 0.193
11 Tb 0.731 0.731 0.462

raw total energy: -4.417 eV per atom
ΔE to the lowest computed polymorph: 0.0 meV per atom
space-group type: Immm

***

(6)
Entry from Alexandria: an optimized crystal structure of Tb5Sm2Tm12 (PBE).

Lattice parameters (Å, degrees): 6.098 10.549 12.677 133.77 94.71 84.44
Positions (direct):
1 Tm 0.474 0.052 0.395
2 Tb 0.000 0.000 0.500
3 Tm 0.526 0.948 0.605
4 Tb 0.738 0.526 0.447
5 Tm 0.947 0.104 0.289
6 Tb 0.158 0.684 0.132
7 Tb 0.842 0.316 0.868
8 Tm 0.684 0.632 0.237
9 Tm 0.053 0.896 0.711
10 Tm 0.211 0.580 0.342
11 Tm 0.105 0.788 0.921
12 Tm 0.789 0.420 0.658
13 Sm 0.580 0.842 0.816
14 Tm 0.895 0.212 0.079
15 Tm 0.316 0.368 0.763
16 Tm 0.631 0.735 0.026
17 Sm 0.420 0.158 0.184
18 Tm 0.369 0.265 0.974
19 Tb 0.262 0.474 0.553

raw total energy: -4.517 eV per atom
ΔE to the lowest computed polymorph: 0.0 meV per atom
space-group type: P-1

***

The highest raw total energy belongs to which entry?
Tb2Sm7Tm2

***

What is the formula in the third record?
TbSm2Tm8